1.
This record from Alexandria via LeMat-Bulk describes Li4SbAu after structural relaxation. The functional is GGA-PBE.

The space group is P4/mmm (No. 123) and the conventional cell measures 4.665, 4.665 and 6.015 Å, with angles of 90.00, 90.00 and 90.00 degrees. The asymmetric unit holds Li at (0.000, 0.500, 0.240), Sb at (0.000, 0.000, 0.000) and Au at (0.500, 0.500, 0.500).


2.
This record from Alexandria via LeMat-Bulk describes Li2SbAu9 after structural relaxation. The functional is GGA-PBE.

The space group is P4/mmm (No. 123) and the conventional cell measures 4.102, 4.102 and 12.845 Å, with angles of 90.00, 90.00 and 90.00 degrees. The asymmetric unit holds Li at (0.000, 0.000, 0.159), Sb at (0.000, 0.000, 0.500), Au at (0.000, 0.500, 0.000), Au at (0.000, 0.500, 0.316), Au at (0.500, 0.500, 0.158) and Au at (0.500, 0.500, 0.500).


Number 1: E_form (uncorrected) -42 kJ/mol of atoms. Number 2: E_form (uncorrected) -20 kJ/mol of atoms.